Crystalline Zr2HgPb at its relaxed geometry, computed with PBE.

E_tot, eV per atom: -5.33
ΔE to the lowest computed polymorph, meV per atom: 123
Space group: Fm-3m, No. 225
Calculated volume, Å³ per atom: 22.8
Formation energy, eV per atom: -0.0524

Lattice parameters (Å, degrees): 5.055 5.055 5.055 60.00 60.00 60.00
Fractional coordinates of all 4 atoms:
Pb  0.500  0.500  0.500
Zr  0.750  0.750  0.750
Zr  0.250  0.250  0.250
Hg  0.000  0.000  0.000